The following is a GGA-PBE calculation of crystalline Pr2FeGe5 at its relaxed geometry, from Alexandria via LeMat-Bulk.

Output
energy relative to the elements = -0.38 eV per atom

Lattice parameters (Å, degrees): 6.2931 6.2931 6.2931 86.10 122.27 122.27
With the nearest neighbours (Å) after each atom.
Fractional coordinates of all 8 atoms:
Ge: 0.0000 0.7122 0.2655  1 Fe 2.40
Ge: 0.5533 0.2655 0.2655  1 Fe 2.40
Ge: 0.4467 0.7122 0.7122  1 Fe 2.40
Ge: 0.0000 0.2655 0.7122  1 Fe 2.40
Ge: 0.0000 0.2777 0.2777  1 Fe 2.32
Fe: 0.0000 0.0258 0.0258  5 Ge 2.32-2.40
Pr: 0.5000 0.2316 0.7316  10 Ge 3.07-3.20
Pr: 0.5000 0.7316 0.2316  10 Ge 3.07-3.20

The following is a GGA-PBE calculation of crystalline Pr2FeGe6 at its relaxed geometry, from Alexandria via LeMat-Bulk.

Output
energy relative to the elements = -0.39 eV per atom

Lattice parameters (Å, degrees): 5.3673 6.1497 6.1497 60.00 89.99 89.99
With the nearest neighbours (Å) after each atom.
Fractional coordinates of all 9 atoms:
Pr: 0.8099 0.6665 0.6665  12 Ge 3.13-3.23
Pr: 0.1901 0.3335 0.3335  12 Ge 3.13-3.23
Fe: 0.0000 0.0000 0.0000  6 Ge 2.43-2.44
Ge: 0.3032 0.8300 0.3406  1 Fe 2.44
Ge: 0.3027 0.8298 0.8298  1 Fe 2.43
Ge: 0.6973 0.1702 0.1702  1 Fe 2.43
Ge: 0.3032 0.3406 0.8300  1 Fe 2.44
Ge: 0.6968 0.6594 0.1700  1 Fe 2.44
Ge: 0.6968 0.1700 0.6594  1 Fe 2.44

The following is a GGA-PBE calculation of crystalline Pr3Fe2Ge4 at its relaxed geometry, from Alexandria via LeMat-Bulk.

Output
energy relative to the elements = -0.57 eV per atom

Lattice parameters (Å, degrees): 4.2607 5.9967 8.2730 106.60 90.00 110.81
With the nearest neighbours (Å) after each atom.
Fractional coordinates of all 9 atoms:
Fe: 0.6946 0.3893 0.3672  4 Ge 2.37-2.42
Fe: 0.3054 0.6107 0.6328  4 Ge 2.37-2.42
Pr: 0.3828 0.7657 0.3070  8 Ge 3.07-3.35, 4 Fe 3.07-3.38
Pr: 0.6172 0.2343 0.6930  8 Ge 3.07-3.35, 4 Fe 3.07-3.38
Pr: 0.0000 0.0000 0.0000  6 Ge 3.11-3.16
Ge: 0.8880 0.7759 0.6007  3 Fe 2.37-2.42
Ge: 0.7119 0.4238 0.0850  1 Fe 2.40
Ge: 0.2881 0.5762 0.9150  1 Fe 2.40
Ge: 0.1120 0.2241 0.3993  3 Fe 2.37-2.42

The following is a GGA-PBE calculation of crystalline PrFe9Ge4 at its relaxed geometry, from Alexandria via LeMat-Bulk.

Output
energy relative to the elements = -0.20 eV per atom

Lattice parameters (Å, degrees): 8.0866 8.0866 8.2380 119.39 119.39 90.00
With the nearest neighbours (Å) after each atom.
Fractional coordinates of all 28 atoms:
Fe: 0.4371 0.7009 0.0000  5 Fe 2.41-2.60, 4 Ge 2.56-2.66
Fe: 0.7127 0.4372 0.6499  4 Ge 2.43-2.51, 6 Fe 2.44-2.60
Fe: 0.9372 0.2127 0.6499  4 Ge 2.43-2.51, 6 Fe 2.44-2.60
Fe: 0.2991 0.4371 0.0000  5 Fe 2.41-2.60, 4 Ge 2.56-2.66
Fe: 0.7009 0.5629 0.0000  5 Fe 2.41-2.60, 4 Ge 2.56-2.66
Fe: 0.5628 0.0628 0.3501  4 Ge 2.43-2.51, 6 Fe 2.44-2.60
Fe: 0.5000 0.0000 0.0000  8 Fe 2.44-2.47, 4 Ge 2.56
Fe: 0.9371 0.7991 0.0000  5 Fe 2.41-2.60, 4 Ge 2.56-2.66
Fe: 0.0628 0.7873 0.3501  4 Ge 2.43-2.51, 6 Fe 2.44-2.60
Fe: 0.7873 0.2873 0.3501  4 Ge 2.43-2.51, 6 Fe 2.44-2.60
Fe: 0.7991 0.0629 0.0000  5 Fe 2.41-2.60, 4 Ge 2.56-2.66
Fe: 0.5629 0.2991 0.0000  5 Fe 2.41-2.60, 4 Ge 2.56-2.66
Fe: 0.0629 0.2009 0.0000  5 Fe 2.41-2.60, 4 Ge 2.56-2.66
Fe: 0.4372 0.9372 0.6499  4 Ge 2.43-2.51, 6 Fe 2.44-2.60
Fe: 0.0000 0.5000 0.0000  8 Fe 2.44-2.47, 4 Ge 2.56
Fe: 0.2009 0.9371 0.0000  5 Fe 2.41-2.60, 4 Ge 2.56-2.66
Fe: 0.2127 0.7127 0.6499  4 Ge 2.43-2.51, 6 Fe 2.44-2.60
Fe: 0.2873 0.5628 0.3501  4 Ge 2.43-2.51, 6 Fe 2.44-2.60
Ge: 0.6915 0.1915 0.7459  9 Fe 2.43-2.66
Ge: 0.0545 0.5545 0.7459  9 Fe 2.43-2.66
Ge: 0.1915 0.0545 0.7459  9 Fe 2.43-2.66
Ge: 0.9455 0.4455 0.2541  9 Fe 2.43-2.66
Ge: 0.3085 0.8085 0.2541  9 Fe 2.43-2.66
Ge: 0.8085 0.9455 0.2541  9 Fe 2.43-2.66
Ge: 0.5545 0.6915 0.7459  9 Fe 2.43-2.66
Ge: 0.4455 0.3085 0.2541  9 Fe 2.43-2.66
Pr: 0.7500 0.7500 0.5000  8 Ge 3.30, 16 Fe 3.38-3.42
Pr: 0.2500 0.2500 0.5000  8 Ge 3.30, 16 Fe 3.38-3.42

The following is a GGA-PBE calculation of crystalline PrFe3Ge3 at its relaxed geometry, from Alexandria via LeMat-Bulk.

Output
energy relative to the elements = 0.14 eV per atom

Lattice parameters (Å, degrees): 6.5025 6.5025 6.5025 90.00 90.00 90.00
With the nearest neighbours (Å) after each atom.
Fractional coordinates of all 14 atoms:
Fe: 0.0000 0.5000 0.7500  4 Ge 2.30
Fe: 0.0000 0.5000 0.2500  4 Ge 2.30
Fe: 0.2500 0.0000 0.5000  4 Ge 2.30
Fe: 0.7500 0.0000 0.5000  4 Ge 2.30
Fe: 0.5000 0.7500 0.0000  4 Ge 2.30
Fe: 0.5000 0.2500 0.0000  4 Ge 2.30
Ge: 0.5000 0.0000 0.2500  4 Fe 2.30
Ge: 0.7500 0.5000 0.0000  4 Fe 2.30
Ge: 0.0000 0.2500 0.5000  4 Fe 2.30
Ge: 0.5000 0.0000 0.7500  4 Fe 2.30
Ge: 0.2500 0.5000 0.0000  4 Fe 2.30
Ge: 0.0000 0.7500 0.5000  4 Fe 2.30
Pr: 0.5000 0.5000 0.5000  12 Ge 3.63, 12 Fe 3.63
Pr: 0.0000 0.0000 0.0000  12 Ge 3.63, 12 Fe 3.63

The following is a GGA-PBE calculation of crystalline Pr6Fe13Ge at its relaxed geometry, from Alexandria via LeMat-Bulk.

Output
energy relative to the elements = -0.07 eV per atom

Lattice parameters (Å, degrees): 8.0279 8.0260 12.9456 108.06 108.08 90.00
With the nearest neighbours (Å) after each atom.
Fractional coordinates of all 40 atoms:
Fe: 0.7065 0.2071 0.1885  7 Fe 2.50-2.64
Fe: 0.8797 0.3802 0.1182  8 Fe 2.45-2.57
Fe: 0.2923 0.7930 0.8113  7 Fe 2.50-2.64
Fe: 0.6193 0.7619 0.8816  8 Fe 2.45-2.57
Fe: 0.9331 0.7910 0.9999  10 Fe 2.40-2.64
Fe: 0.0179 0.2932 0.8114  7 Fe 2.50-2.65
Fe: 0.5179 0.0187 0.8117  7 Fe 2.50-2.64
Fe: 0.7903 0.0665 0.0000  10 Fe 2.40-2.64
Fe: 0.9811 0.7069 0.1883  7 Fe 2.50-2.64
Fe: 0.1192 0.6198 0.8816  8 Fe 2.45-2.57
Fe: 0.4330 0.7090 0.9998  10 Fe 2.40-2.64
Fe: 0.7087 0.5665 0.9999  10 Fe 2.39-2.64
Fe: 0.4994 0.0000 0.9999  12 Fe 2.39-2.54
Fe: 0.2086 0.9335 0.9998  10 Fe 2.39-2.64
Fe: 0.5659 0.2911 0.0000  10 Fe 2.40-2.64
Fe: 0.2612 0.1199 0.8816  8 Fe 2.45-2.57
Fe: 0.0659 0.2091 0.9999  10 Fe 2.40-2.65
Fe: 0.3797 0.2381 0.1182  8 Fe 2.45-2.57
Fe: 0.7925 0.5187 0.8114  7 Fe 2.50-2.64
Fe: 0.9995 0.5000 0.9999  12 Fe 2.39-2.54
Fe: 0.7613 0.2620 0.8817  8 Fe 2.45-2.56
Fe: 0.2902 0.4335 0.9999  10 Fe 2.39-2.64
Fe: 0.2376 0.7380 0.1180  8 Fe 2.45-2.57
Fe: 0.2064 0.4815 0.1883  7 Fe 2.50-2.64
Fe: 0.7377 0.8802 0.1182  8 Fe 2.45-2.57
Fe: 0.4810 0.9815 0.1881  7 Fe 2.50-2.64
Pr: 0.1075 0.1080 0.2158  12 Fe 3.07-3.25, 1 Ge 3.30
Pr: 0.9767 0.4775 0.6234  4 Fe 3.01-3.33, 2 Ge 3.32
Pr: 0.8537 0.0223 0.3762  4 Fe 3.01-3.33, 2 Ge 3.32
Pr: 0.4773 0.6461 0.6236  4 Fe 3.00-3.33, 2 Ge 3.32
Pr: 0.0223 0.5229 0.3764  4 Fe 3.01-3.33, 2 Ge 3.32
Pr: 0.3536 0.8541 0.3761  4 Fe 3.01-3.33, 2 Ge 3.32
Pr: 0.3914 0.3922 0.7839  12 Fe 3.07-3.25, 1 Ge 3.30
Pr: 0.6454 0.1463 0.6237  4 Fe 3.01-3.33, 2 Ge 3.32
Pr: 0.8914 0.8922 0.7839  12 Fe 3.07-3.26, 1 Ge 3.31
Pr: 0.1453 0.9780 0.6236  4 Fe 3.01-3.33, 2 Ge 3.32
Pr: 0.5216 0.3543 0.3762  4 Fe 3.01-3.33, 2 Ge 3.32
Pr: 0.6075 0.6080 0.2158  12 Fe 3.07-3.25, 1 Ge 3.30
Ge: 0.2495 0.2502 0.4999  10 Pr 3.30-3.32
Ge: 0.7494 0.7503 0.4998  10 Pr 3.30-3.32

no.,size of the total moment (μB/f.u.)
1,0.00
2,0.00
3,1.40
4,17.34
5,5.19
6,26.56